## ScAg2Sn (PBE-GGA)

Data for crystalline ScAg2Sn at its relaxed geometry.

Geometry as POSCAR:
```
ScAg2Sn
1.0
5.331 -1.978 -3.187
-1.730 5.416 3.187
-3.771 0.345 5.305
Sc Ag Sn
1 2 1
Direct
0.000 0.000 0.000
0.000 0.254 0.254
0.000 0.746 0.746
0.000 0.500 0.500
```

Output
crystal system	orthorhombic
Fermi-level density of states	3.0	states/eV/cell
V	22.4	Å³/atom
formation energy	-0.307	kcal/mol of atoms